! K2TaTe | Alexandria via LeMat-Bulk | PBE-GGA | relaxed; values from VASP
&SYSTEM
  ibrav = 0, nat = 4, ntyp = 3
/
ATOMIC_SPECIES
K 39.10 K.upf
Ta 180.95 Ta.upf
Te 127.60 Te.upf
ATOMIC_POSITIONS angstrom
K 0.0000 0.0000 3.1253
K 0.0000 0.0000 17.4036
Ta 0.0000 2.2193 0.0000
Te 1.7631 0.0000 0.0000
CELL_PARAMETERS angstrom
-1.7631 2.2193 10.2644
1.7631 -2.2193 10.2644
1.7631 2.2193 -10.2644
! crystal system	orthorhombic
! space group	No. 71
! DOS(E_F)	4.43	states/eV/cell
! raw formation energy	0.462	eV/atom